# DyHfFeRh

A geometry-optimized DyHfFeRh structure (PBE, Alexandria).

```
DyHfFeRh
1.0
4.647 0.000 0.000
2.323 4.024 0.000
2.323 1.341 3.794
Rh Fe Dy Hf
1 1 1 1
Direct
0.750 0.750 0.750 Rh
0.250 0.250 0.250 Fe
0.000 0.000 0.000 Dy
0.500 0.500 0.500 Hf
```

Computed properties:
For the density of states at the Fermi level, the calculation gives 2.2 states/eV/f.u. The space group is F-43m, No. 216. The value obtained for the energy of formation is -9.49 kcal/mol of atoms.